No. 1
First-principles (PBE with a Hubbard U) data for a relaxed VBrF crystal, as listed in Alexandria.

The density of states at the Fermi level comes out at 0.00 states/eV per cell. The uncorrected energy comes out at -5.396 eV/atom. The distance to the lowest polymorph of the same formula comes out at 0 meV/atom.

The structure belongs to space group C2/m (No. 12); the cell edges are 12.879, 3.562 and 6.035 Å and the angles 90.00°, 97.56° and 90.00°. Symmetry generates all atoms from V at (0.000, 0.000, 0.000), V at (0.000, 0.500, 0.500), Br at (0.135, 0.000, 0.697) and F at (0.060, 0.500, 0.187).

---

No. 2
First-principles (PBE with a Hubbard U) data for a relaxed VBrF3 crystal, as listed in Alexandria.

The density of states at the Fermi level comes out at 8.03 states/eV per cell. The uncorrected energy comes out at -4.628 eV/atom. The distance to the lowest polymorph of the same formula comes out at 0 meV/atom.

The structure belongs to space group Pm-3m (No. 221); the cell edges are 4.133, 4.133 and 4.133 Å and the angles 90.00°, 90.00° and 90.00°. Symmetry generates all atoms from V at (0.000, 0.000, 0.000), Br at (0.500, 0.500, 0.500) and F at (0.000, 0.000, 0.500).

---

No. 3
First-principles (PBE with a Hubbard U) data for a relaxed VBr3F crystal, as listed in Alexandria.

The density of states at the Fermi level comes out at 8.06 states/eV per cell. The uncorrected energy comes out at -3.164 eV/atom. The distance to the lowest polymorph of the same formula comes out at 0 meV/atom.

The structure belongs to space group Pm-3m (No. 221); the cell edges are 5.080, 5.080 and 5.080 Å and the angles 90.00°, 90.00° and 90.00°. Symmetry generates all atoms from V at (0.000, 0.000, 0.000), Br at (0.000, 0.000, 0.500) and F at (0.500, 0.500, 0.500).

---

No. 4
First-principles (PBE with a Hubbard U) data for a relaxed V3BrF crystal, as listed in Alexandria.

The density of states at the Fermi level comes out at 3.87 states/eV per cell. The uncorrected energy comes out at -4.693 eV/atom. The distance to the lowest polymorph of the same formula comes out at 0 meV/atom.

The structure belongs to space group Pm-3m (No. 221); the cell edges are 4.720, 4.720 and 4.720 Å and the angles 90.00°, 90.00° and 90.00°. Symmetry generates all atoms from V at (0.000, 0.000, 0.500), Br at (0.500, 0.500, 0.500) and F at (0.000, 0.000, 0.000).

---

No. 5
First-principles (PBE with a Hubbard U) data for a relaxed VBr3F crystal, as listed in Alexandria.

The density of states at the Fermi level comes out at 8.99 states/eV per cell. The uncorrected energy comes out at -2.442 eV/atom. The distance to the lowest polymorph of the same formula comes out at 721 meV/atom.

The structure belongs to space group Pm-3m (No. 221); the cell edges are 4.945, 4.945 and 4.945 Å and the angles 90.00°, 90.00° and 90.00°. Symmetry generates all atoms from V at (0.000, 0.000, 0.000), Br at (0.000, 0.500, 0.500) and F at (0.500, 0.500, 0.500).

---

No. 6
First-principles (PBE with a Hubbard U) data for a relaxed VBrF3 crystal, as listed in Alexandria.

The density of states at the Fermi level comes out at 11.38 states/eV per cell. The uncorrected energy comes out at -3.104 eV/atom. The distance to the lowest polymorph of the same formula comes out at 1523 meV/atom.

The structure belongs to space group Pm-3m (No. 221); the cell edges are 4.574, 4.574 and 4.574 Å and the angles 90.00°, 90.00° and 90.00°. Symmetry generates all atoms from V at (0.000, 0.000, 0.000), Br at (0.500, 0.500, 0.500) and F at (0.000, 0.500, 0.500).

---

No. 7
First-principles (PBE with a Hubbard U) data for a relaxed WBrF crystal, as listed in Alexandria.

The uncorrected energy comes out at -4.382 eV/atom.

The structure belongs to space group C2/m (No. 12); the cell edges are 15.672, 3.421 and 5.550 Å and the angles 90.00°, 95.78° and 90.00°. Symmetry generates all atoms from W at (0.226, 0.000, 0.291), Br at (0.096, 0.500, 0.277) and F at (0.201, 0.000, 0.868).

---

No. 8
First-principles (PBE with a Hubbard U) data for a relaxed W2BrF crystal, as listed in Alexandria.

The density of states at the Fermi level comes out at 8.88 states/eV per cell. The uncorrected energy comes out at -3.461 eV/atom. The distance to the lowest polymorph of the same formula comes out at 302 meV/atom.

The structure belongs to space group Fm-3m (No. 225); the cell edges are 7.033, 7.033 and 7.033 Å and the angles 90.00°, 90.00° and 90.00°. Symmetry generates all atoms from W at (0.250, 0.250, 0.250), Br at (0.000, 0.000, 0.000) and F at (0.000, 0.000, 0.500).

---

No. 9
First-principles (PBE with a Hubbard U) data for a relaxed WBrF2 crystal, as listed in Alexandria.

The density of states at the Fermi level comes out at 36.22 states/eV per cell. The uncorrected energy comes out at -3.426 eV/atom. The distance to the lowest polymorph of the same formula comes out at 1027 meV/atom.

The structure belongs to space group Fm-3m (No. 225); the cell edges are 6.203, 6.203 and 6.203 Å and the angles 90.00°, 90.00° and 90.00°. Symmetry generates all atoms from W at (0.000, 0.000, 0.000), Br at (0.000, 0.000, 0.500) and F at (0.250, 0.250, 0.250).

---

No. 10
First-principles (PBE with a Hubbard U) data for a relaxed WBrF2 crystal, as listed in Alexandria.

The density of states at the Fermi level comes out at 8.29 states/eV per cell. The uncorrected energy comes out at -4.123 eV/atom. The distance to the lowest polymorph of the same formula comes out at 330 meV/atom.

The structure belongs to space group R-3m (No. 166, hexagonal axes); the cell edges are 3.0239, 3.0239 and 32.2925 Å and the angles 90.00°, 90.00° and 120.00°. Symmetry generates all atoms from W at (0.0000, 0.0000, 0.0000), Br at (0.0000, 0.0000, 0.5000) and F at (0.0000, 0.0000, 0.0579).

---

No. 11
First-principles (PBE with a Hubbard U) data for a relaxed W2BrF crystal, as listed in Alexandria.

The density of states at the Fermi level comes out at 4.40 states/eV per cell. The uncorrected energy comes out at -3.762 eV/atom. The distance to the lowest polymorph of the same formula comes out at 0 meV/atom.

The structure belongs to space group I-42d (No. 122); the cell edges are 4.154, 4.154 and 18.528 Å and the angles 90.00°, 90.00° and 90.00°. Symmetry generates all atoms from W at (0.250, 0.250, 0.125), Br at (0.000, 0.000, 0.000) and F at (0.000, 0.000, 0.500).

---

No. 12
First-principles (PBE with a Hubbard U) data for a relaxed WBrF2 crystal, as listed in Alexandria.

The density of states at the Fermi level comes out at 0.00 states/eV per cell. The uncorrected energy comes out at -4.453 eV/atom. The distance to the lowest polymorph of the same formula comes out at 0 meV/atom.

The structure belongs to space group I4_1/amd (No. 141, origin choice 2); the cell edges are 4.915, 4.915 and 13.438 Å and the angles 90.00°, 90.00° and 90.00°. Symmetry generates all atoms from W at (0.000, 0.250, 0.375), Br at (0.000, 0.250, 0.875) and F at (0.000, 0.000, 0.500).

---

No. 13
First-principles (PBE with a Hubbard U) data for a relaxed ZrW2BrF crystal, as listed in Alexandria.

The density of states at the Fermi level comes out at 3.61 states/eV per cell. The uncorrected energy comes out at -4.612 eV/atom.

The structure belongs to space group P4/mmm (No. 123); the cell edges are 5.833, 5.833 and 4.191 Å and the angles 90.00°, 90.00° and 90.00°. Symmetry generates all atoms from Zr at (0.000, 0.000, 0.000), W at (0.000, 0.500, 0.000), Br at (0.500, 0.500, 0.500) and F at (0.000, 0.000, 0.500).